VASP calculation (PBE) on LiPa6Se12 after structural relaxation.

Properties
Formation energy from raw total energies in eV per formula unit: -23.5
E above lowest polymorph in meV per atom: 56

```
LiPa6Se12
1.0
5.8422 3.3730 4.7142
-5.8422 3.3730 4.7142
0.0000 -6.7459 4.7142
Li Pa Se
1 6 12
direct
0.0000 0.0000 0.0000
0.0790 0.2503 0.5786
0.2503 0.5786 0.0790
0.4214 0.9210 0.7497
0.5786 0.0790 0.2503
0.7497 0.4214 0.9210
0.9210 0.7497 0.4214
0.0787 0.9099 0.6891
0.0901 0.3109 0.9213
0.1917 0.5376 0.4132
0.3109 0.9213 0.0901
0.4132 0.1917 0.5376
0.4624 0.5868 0.8083
0.5376 0.4132 0.1917
0.5868 0.8083 0.4624
0.6891 0.0787 0.9099
0.8083 0.4624 0.5868
0.9099 0.6891 0.0787
0.9213 0.0901 0.3109
```